4
Lattice="0.000 2.932 2.932 2.932 0.000 2.932 2.932 2.932 0.000" Properties=species:S:1:pos:R:3 comment="LiLuFeB | OQMD | PBE-GGA | optimized geometry" polymorph_energy_mev_per_atom=233 pbc="T T T"
Li 0.000 0.000 0.000
Lu 4.399 4.399 4.399
Fe 2.932 2.932 2.932
B 1.466 1.466 1.466